# 1
MnTl2Se3 | PBE | relaxed

a b c (Å): 12.5908 8.0597 6.7487
angles (deg): 90.00 97.49 90.00
Closest atoms and distances in Å follow each position.
Space group C2/c (No. 15)
Inequivalent atoms, fractional coordinates:
Mn  0.0000  0.0730  0.2500 x4  5 Se 2.38-2.48
Tl  0.1583  0.3493  0.6576 x8  6 Se 3.14-3.43
Se  0.0000  0.3684  0.2500 x4  1 Mn 2.38
Se  0.1295  0.0510  0.0046 x8  2 Mn 2.42-2.48

Calculated values
Energy relative to the elements, uncorrected in eV per atom: -0.360
Total magnetization in μB per formula unit: 3.01
Theoretical density in g cm⁻³: 6.853

# 2
MnTlSe2 | PBE | relaxed

a b c (Å): 3.5978 3.5978 8.4973
angles (deg): 90.00 90.00 90.00
Closest atoms and distances in Å follow each position.
Space group P4mm (No. 99)
Inequivalent atoms, fractional coordinates:
Mn  0.0000  0.0000  0.0000 x1  5 Se 2.39-2.63
Tl  0.5000  0.5000  0.4870 x1  4 Se 3.09
Se  0.0000  0.0000  0.2813 x1  1 Mn 2.39
Se  0.5000  0.5000  0.9194 x1  4 Mn 2.63

Calculated values
Energy relative to the elements, uncorrected in eV per atom: -0.236
Total magnetization in μB per formula unit: 4.03
Theoretical density in g cm⁻³: 6.299

# 3
MnTl3Se | PBE | relaxed

a b c (Å): 5.2707 5.2707 5.2707
angles (deg): 90.00 90.00 90.00
Closest atoms and distances in Å follow each position.
Space group Pm-3m (No. 221)
Inequivalent atoms, fractional coordinates:
Mn  0.0000  0.0000  0.0000 x1  6 Tl 2.64
Tl  0.0000  0.0000  0.5000 x3  2 Mn 2.64
Se  0.5000  0.5000  0.5000 x1  12 Tl 3.73

Calculated values
Energy relative to the elements, uncorrected in eV per atom: 0.296
Total magnetization in μB per formula unit: 3.68
Theoretical density in g cm⁻³: 8.472

# 4
MnTlSe2 | PBE | relaxed

a b c (Å): 4.3881 21.9982 4.9170
angles (deg): 90.00 90.00 90.00
Closest atoms and distances in Å follow each position.
Space group Cmcm (No. 63)
Inequivalent atoms, fractional coordinates:
Mn  0.0000  0.0643  0.2500 x4  4 Se 2.37-2.48
Tl  0.0000  0.3219  0.2500 x4  7 Se 3.29-3.60
Se  0.0000  0.0484  0.7500 x4  3 Mn 2.48
Se  0.0000  0.1722  0.2500 x4  1 Mn 2.37

Calculated values
Energy relative to the elements, uncorrected in eV per atom: -0.261
Total magnetization in μB per formula unit: 4.06
Theoretical density in g cm⁻³: 5.839

# 5
MnTlSe2 | PBE | relaxed

a b c (Å): 7.9798 7.9798 6.8005
angles (deg): 90.00 90.00 90.00
Closest atoms and distances in Å follow each position.
Space group I4/mcm (No. 140)
Inequivalent atoms, fractional coordinates:
Mn  0.0000  0.5000  0.2500 x4  4 Se 2.44
Tl  0.0000  0.0000  0.2500 x4  2 Tl 3.40, 8 Se 3.46
Se  0.1554  0.3446  0.0000 x8  2 Mn 2.44

Calculated values
Energy relative to the elements, uncorrected in eV per atom: -0.355
Total magnetization in μB per formula unit: 4.00
Theoretical density in g cm⁻³: 6.400

# 6
Mn2Tl14Se9 | PBE | relaxed

a b c (Å): 9.2799 9.2799 10.9374
angles (deg): 90.00 90.00 120.00
Closest atoms and distances in Å follow each position.
Space group P-3 (No. 147)
Inequivalent atoms, fractional coordinates:
Mn  0.3333  0.6667  0.2888 x2  4 Se 2.52-2.54
Tl  0.0000  0.0000  0.2985 x2  4 Se 3.25-3.27
Tl  0.0080  0.6662  0.9010 x6  4 Se 3.14-3.47
Tl  0.0900  0.4284  0.6412 x6  3 Se 3.02-3.19
Se  0.0000  0.0000  0.0000 x1  8 Tl 3.27-3.32
Se  0.1185  0.3832  0.3707 x6  1 Mn 2.54
Se  0.3333  0.6667  0.0580 x2  1 Mn 2.52

Calculated values
Energy relative to the elements, uncorrected in eV per atom: -0.358
Total magnetization in μB per formula unit: 10.00
Theoretical density in g cm⁻³: 7.495

# 7
MnTlSe2 | PBE | relaxed

a b c (Å): 3.4173 6.7010 8.7153
angles (deg): 107.10 90.05 90.13
Closest atoms and distances in Å follow each position.
Space group P-1 (No. 2)
Inequivalent atoms, fractional coordinates:
Mn  0.2488  0.3909  0.3830 x2  5 Se 2.34-2.45
Tl  0.2467  0.1670  0.8358 x2  7 Se 3.31-3.46, 2 Tl 3.42
Se  0.2510  0.7558  0.4845 x2  3 Mn 2.34-2.43
Se  0.2518  0.6584  0.8265 x2  2 Mn 2.45

Calculated values
Energy relative to the elements, uncorrected in eV per atom: -0.342
Total magnetization in μB per formula unit: 1.93
Theoretical density in g cm⁻³: 7.264

# 8
MnTlSe2 | PBE | relaxed

a b c (Å): 3.6068 6.5560 9.4751
angles (deg): 70.78 79.13 89.96
Closest atoms and distances in Å follow each position.
Space group P-1 (No. 2)
Inequivalent atoms, fractional coordinates:
Mn  0.1703  0.4735  0.1621 x2  5 Se 2.50-2.61
Tl  0.0919  0.8801  0.3200 x2  7 Se 3.30-3.61, 2 Mn 3.45-3.67, 2 Tl 3.61
Se  0.2659  0.2638  0.9684 x2  3 Mn 2.51-2.61
Se  0.4200  0.7113  0.6552 x2  2 Mn 2.50

Calculated values
Energy relative to the elements, uncorrected in eV per atom: -0.419
Total magnetization in μB per formula unit: 4.00
Theoretical density in g cm⁻³: 6.684

# 9
MnTlSe2 | PBE | relaxed

a b c (Å): 5.3737 6.8092 7.2203
angles (deg): 115.52 91.28 112.13
Closest atoms and distances in Å follow each position.
Space group P-1 (No. 2)
Inequivalent atoms, fractional coordinates:
Mn  0.2492  0.9998  0.4995 x2  4 Se 2.32
Tl  0.3072  0.6291  0.8591 x2  6 Se 3.29-3.58
Se  0.0443  0.0736  0.7863 x2  2 Mn 2.32
Se  0.3388  0.6684  0.4207 x2  2 Mn 2.32

Calculated values
Energy relative to the elements, uncorrected in eV per atom: -0.366
Total magnetization in μB per formula unit: 2.00
Theoretical density in g cm⁻³: 6.433

# 10
MnTlSe2 | PBE | relaxed

a b c (Å): 5.3538 6.8225 7.2763
angles (deg): 95.91 90.00 113.05
Closest atoms and distances in Å follow each position.
Space group P1 (No. 1)
Inequivalent atoms, fractional coordinates:
Mn  0.0000  0.0000  0.0000 x1  4 Se 2.31-2.33
Mn  0.4978  0.0000  0.0000 x1  4 Se 2.31-2.33
Tl  0.0425  0.5853  0.2766 x1  3 Se 3.13-3.20
Tl  0.7524  0.0066  0.5160 x1  6 Se 3.16-3.48
Se  0.1797  0.8614  0.7554 x1  2 Mn 2.31
Se  0.3187  0.1400  0.2463 x1  2 Mn 2.33
Se  0.6102  0.7218  0.0787 x1  2 Mn 2.33
Se  0.8839  0.2706  0.9114 x1  2 Mn 2.31

Calculated values
Energy relative to the elements, uncorrected in eV per atom: -0.334
Total magnetization in μB per formula unit: 2.00
Theoretical density in g cm⁻³: 5.702

# 11
MnTlSe2 | PBE | relaxed

a b c (Å): 3.6462 6.6495 8.8855
angles (deg): 90.00 90.00 90.00
Closest atoms and distances in Å follow each position.
Space group Immm (No. 71)
Inequivalent atoms, fractional coordinates:
Mn  0.0000  0.0000  0.0000 x2  4 Se 2.45
Tl  0.0000  0.0000  0.5000 x2  8 Se 3.35-3.70, 2 Tl 3.65
Se  0.0000  0.5000  0.3162 x4  2 Mn 2.45

Calculated values
Energy relative to the elements, uncorrected in eV per atom: -0.264
Total magnetization in μB per formula unit: 4.00
Theoretical density in g cm⁻³: 6.432

# 12
MnTlSe2 | PBE | relaxed

a b c (Å): 6.3813 4.4544 8.4858
angles (deg): 90.00 93.16 90.00
Closest atoms and distances in Å follow each position.
Space group P2_1/m (No. 11)
Inequivalent atoms, fractional coordinates:
Mn  0.0756  0.2500  0.1520 x2  4 Se 2.42-2.49
Tl  0.2607  0.7500  0.6311 x2  1 Mn 2.90, 3 Se 2.96-2.98
Se  0.1999  0.7500  0.0632 x2  3 Mn 2.46-2.49
Se  0.2772  0.2500  0.4016 x2  1 Mn 2.42

Calculated values
Energy relative to the elements, uncorrected in eV per atom: -0.314
Total magnetization in μB per formula unit: 4.00
Theoretical density in g cm⁻³: 5.754

# 13
MnTlSe2 | PBE | relaxed

a b c (Å): 3.8569 3.8569 7.8422
angles (deg): 90.00 90.00 120.00
Closest atoms and distances in Å follow each position.
Space group P3m1 (No. 156)
Inequivalent atoms, fractional coordinates:
Mn  0.0000  0.0000  0.0000 x1  4 Se 2.22-2.33
Tl  0.6667  0.3333  0.5427 x1  3 Se 3.02
Se  0.0000  0.0000  0.2826 x1  1 Mn 2.22
Se  0.3333  0.6667  0.9135 x1  3 Mn 2.33

Calculated values
Energy relative to the elements, uncorrected in eV per atom: -0.024
Total magnetization in μB per formula unit: 0.00
Theoretical density in g cm⁻³: 6.858

# 14
MnTlSe2 | PBE | relaxed

a b c (Å): 5.6386 5.6386 11.4526
angles (deg): 90.00 90.00 90.00
Closest atoms and distances in Å follow each position.
Space group I4_1/amd (No. 141, origin choice 2)
Inequivalent atoms, fractional coordinates:
Mn  0.0000  0.2500  0.3750 x4  2 Se 2.39
Tl  0.0000  0.2500  0.8750 x4  4 Se 2.86
Se  0.0000  0.2500  0.1663 x8  1 Mn 2.39

Calculated values
Energy relative to the elements, uncorrected in eV per atom: 0.184
Total magnetization in μB per formula unit: 0.10
Theoretical density in g cm⁻³: 7.611

# 15
Tm3MnTl3Se8 | PBE | relaxed

a b c (Å): 8.0321 8.0321 23.5804
angles (deg): 90.00 90.00 120.00
Closest atoms and distances in Å follow each position.
Space group R-3m (No. 166, hexagonal axes)
Inequivalent atoms, fractional coordinates:
Tm  0.0000  0.5000  0.0000 x9  6 Se 2.82-2.84
Mn  0.0000  0.0000  0.0000 x3  6 Se 2.59
Tl  0.0000  0.5000  0.5000 x9  6 Se 3.28-3.31
Se  0.0000  0.0000  0.2653 x6  3 Tm 2.82
Se  0.0280  0.5140  0.7295 x18  1 Mn 2.59, 2 Tm 2.84

Calculated values
Energy relative to the elements, uncorrected in eV per atom: -1.131
Total magnetization in μB per formula unit: 3.15
Theoretical density in g cm⁻³: 6.831

# 16
Tm3MnTl4Se8 | PBE | relaxed

a b c (Å): 8.1617 8.1617 22.9810
angles (deg): 90.00 90.00 120.00
Closest atoms and distances in Å follow each position.
Space group R-3m (No. 166, hexagonal axes)
Inequivalent atoms, fractional coordinates:
Tm  0.0000  0.5000  0.0000 x9  6 Se 2.83-2.84
Mn  0.0000  0.0000  0.0000 x3  6 Se 2.72
Tl  0.0000  0.0000  0.5000 x3  6 Se 3.37
Tl  0.0000  0.5000  0.5000 x9  6 Se 3.26-3.27
Se  0.0000  0.0000  0.2650 x6  3 Tm 2.83
Se  0.0133  0.5066  0.7326 x18  1 Mn 2.72, 2 Tm 2.84

Calculated values
Energy relative to the elements, uncorrected in eV per atom: -1.106
Total magnetization in μB per formula unit: 4.35
Theoretical density in g cm⁻³: 7.556

# 17
UMnTlSe4 | PBE | relaxed

a b c (Å): 6.7625 6.5201 9.2087
angles (deg): 90.00 108.65 90.00
Closest atoms and distances in Å follow each position.
Space group P2_1/m (No. 11)
Inequivalent atoms, fractional coordinates:
U  0.2342  0.2500  0.0533 x2  6 Se 2.82-2.93
Mn  0.2305  0.7500  0.8291 x2  4 Se 2.39-2.40
Tl  0.2635  0.2500  0.5578 x2  6 Se 3.20-3.54
Se  0.0261  0.5141  0.2090 x4  1 Mn 2.39
Se  0.4420  0.7500  0.6638 x2  1 Mn 2.40
Se  0.4482  0.7500  0.0906 x2  1 Mn 2.39

Calculated values
Energy relative to the elements, uncorrected in eV per atom: -0.728
Total magnetization in μB per formula unit: 6.00
Theoretical density in g cm⁻³: 7.020

# 18
UMnTl2Se4 | PBE | relaxed

a b c (Å): 6.8243 4.0682 8.0010
angles (deg): 90.00 90.60 90.00
Closest atoms and distances in Å follow each position.
Space group P2/m (No. 10)
Inequivalent atoms, fractional coordinates:
U  0.0000  0.0000  0.0000 x1  6 Se 2.80-2.84
Mn  0.5000  0.5000  0.0000 x1  6 Se 2.74-2.75
Tl  0.0000  0.0000  0.5000 x1  6 Se 3.35-3.45
Tl  0.5000  0.5000  0.5000 x1  6 Se 3.31-3.37
Se  0.1707  0.5000  0.8006 x2  1 Mn 2.74, 2 U 2.84
Se  0.3473  0.0000  0.1890 x2  2 Mn 2.75, 1 U 2.80

Calculated values
Energy relative to the elements, uncorrected in eV per atom: -0.673
Total magnetization in μB per formula unit: 6.81
Theoretical density in g cm⁻³: 7.607

# 19
UMn2Tl2Se4 | PBE | relaxed

a b c (Å): 15.1175 4.0745 8.0391
angles (deg): 90.00 107.61 90.00
Closest atoms and distances in Å follow each position.
Space group C2/m (No. 12)
Inequivalent atoms, fractional coordinates:
U  0.0000  0.0000  0.0000 x2  6 Se 2.87-2.88
Mn  0.1728  0.5000  0.9716 x4  4 Se 2.49-2.57
Tl  0.1371  0.0000  0.5788 x4  7 Se 3.35-3.65, 2 Mn 3.66
Se  0.0146  0.5000  0.7570 x4  1 Mn 2.49
Se  0.1964  0.0000  0.1712 x4  3 Mn 2.55-2.57

Calculated values
Energy relative to the elements, uncorrected in eV per atom: -0.586
Total magnetization in μB per formula unit: 6.00
Theoretical density in g cm⁻³: 7.547

# 20
UMnTl2Se5 | PBE | relaxed

a b c (Å): 4.1339 18.6370 14.0906
angles (deg): 90.00 90.00 90.00
Closest atoms and distances in Å follow each position.
Space group Cmc2_1 (No. 36)
Inequivalent atoms, fractional coordinates:
U  0.0000  0.2066  0.0000 x4  6 Se 2.64-2.82
Mn  0.0000  0.4321  0.4015 x4  4 Se 2.34-2.50
Tl  0.0000  0.1044  0.6394 x4  6 Se 3.22-3.59
Tl  0.0000  0.1174  0.3004 x4  4 Se 3.15-3.30
Se  0.0000  0.0571  0.0007 x4  2 Mn 2.50, 1 U 2.79
Se  0.0000  0.2874  0.6291 x4  2 U 2.76
Se  0.0000  0.3017  0.3646 x4  1 Mn 2.49
Se  0.0000  0.3470  0.9764 x4  1 U 2.64
Se  0.0000  0.4940  0.2569 x4  1 Mn 2.34

Calculated values
Energy relative to the elements, uncorrected in eV per atom: -0.647
Total magnetization in μB per formula unit: 5.00
Theoretical density in g cm⁻³: 6.709